Run A
## Na2InBr (GGA-PBE)

Data for an optimized crystal structure of Na2InBr.

Magnetic moment   0.00 μB per formula unit
V   251 Å³ per cell

a = 8.3491 Å, b = 8.3491 Å, c = 6.9184 Å
α = 52.89°, β = 52.89°, γ = 90.00°
Last column: nearest neighbours and their distance in Å.
Fractional coordinates of all 8 atoms:
Na  0.1659  0.6250  0.2500  2 Br 2.87
Na  0.3750  0.4159  0.7500  2 Br 2.87
Na  0.8750  0.8341  0.7500  2 Br 2.87
Na  0.5841  0.1250  0.2500  2 Br 2.87
In  0.0000  0.0000  0.0000  4 Na 3.33, 2 Br 3.61
In  0.7500  0.2500  0.5000  4 Na 3.33, 2 Br 3.61
Br  0.5000  0.5000  0.0000  4 Na 2.87
Br  0.2500  0.7500  0.5000  4 Na 2.87


Run B
## Na2InBr (GGA-PBE)

Data for an optimized crystal structure of Na2InBr.

Magnetic moment   0.00 μB per formula unit
V   109 Å³ per cell

a = 3.5678 Å, b = 3.5678 Å, c = 8.5621 Å
α = 90.00°, β = 90.00°, γ = 90.00°
Last column: nearest neighbours and their distance in Å.
Fractional coordinates of all 4 atoms:
Na  0.0000  0.0000  0.2118  4 Br 3.11
Na  0.0000  0.0000  0.7882  4 Br 3.11
Br  0.5000  0.5000  0.0000  8 Na 3.11
In  0.5000  0.5000  0.5000  8 Na 3.53, 4 In 3.57


Run C
## Na2InBr (GGA-PBE)

Data for an optimized crystal structure of Na2InBr.

Magnetic moment   0.00 μB per formula unit
V   126 Å³ per cell

a = 3.8171 Å, b = 3.8171 Å, c = 10.2377 Å
α = 79.26°, β = 79.26°, γ = 60.00°
Last column: nearest neighbours and their distance in Å.
Fractional coordinates of all 4 atoms:
Br  0.5000  0.5000  0.5000  6 Na 2.91
Na  0.1031  0.1031  0.6906  3 Br 2.91, 1 In 3.09
Na  0.8969  0.8969  0.3094  3 Br 2.91, 1 In 3.09
In  0.0000  0.0000  0.0000  2 Na 3.09


Decreasing stability: run B, run C, run A


Run A
## Na3InBr (GGA-PBE)

Data for an optimized crystal structure of Na3InBr.

Magnetic moment   0.00 μB per formula unit
V   212 Å³ per cell

a = 5.9582 Å, b = 5.9582 Å, c = 5.9582 Å
α = 90.00°, β = 90.00°, γ = 90.00°
Last column: nearest neighbours and their distance in Å.
Fractional coordinates of all 5 atoms:
Br  0.5000  0.5000  0.5000  12 Na 4.21
Na  0.0000  0.0000  0.5000  2 In 2.98
Na  0.0000  0.5000  0.0000  2 In 2.98
Na  0.5000  0.0000  0.0000  2 In 2.98
In  0.0000  0.0000  0.0000  6 Na 2.98


Run B
## Na3InBr (GGA-PBE)

Data for an optimized crystal structure of Na3InBr.

Magnetic moment   0.00 μB per formula unit
V   174 Å³ per cell

a = 5.5781 Å, b = 5.5781 Å, c = 5.5781 Å
α = 90.00°, β = 90.00°, γ = 90.00°
Last column: nearest neighbours and their distance in Å.
Fractional coordinates of all 5 atoms:
Br  0.0000  0.0000  0.0000  6 Na 2.79
Na  0.0000  0.0000  0.5000  2 Br 2.79
Na  0.5000  0.0000  0.0000  2 Br 2.79
Na  0.0000  0.5000  0.0000  2 Br 2.79
In  0.5000  0.5000  0.5000  12 Na 3.94


Decreasing stability: run B, run A


Run A
## NaInSeBr2 (GGA-PBE)

Data for an optimized crystal structure of NaInSeBr2.

Magnetic moment   0.00 μB per formula unit
V   165 Å³ per cell

a = 5.6194 Å, b = 5.6194 Å, c = 5.2373 Å
α = 90.00°, β = 90.00°, γ = 90.00°
Last column: nearest neighbours and their distance in Å.
Fractional coordinates of all 5 atoms:
In  0.0000  0.0000  0.0000  2 Se 2.62, 4 Br 2.81
Br  0.5000  0.0000  0.0000  2 In 2.81
Br  0.0000  0.5000  0.0000  2 In 2.81
Na  0.5000  0.5000  0.5000  8 Br 3.84, 4 Se 3.97
Se  0.0000  0.0000  0.5000  2 In 2.62


Run B
## NaInSeBr2 (GGA-PBE)

Data for an optimized crystal structure of NaInSeBr2.

Magnetic moment   2.01 μB per formula unit
V   171 Å³ per cell

a = 5.6098 Å, b = 5.6098 Å, c = 5.4446 Å
α = 90.00°, β = 90.00°, γ = 90.00°
Last column: nearest neighbours and their distance in Å.
Fractional coordinates of all 5 atoms:
Se  0.0000  0.0000  0.5000  2 Na 2.72
Br  0.0000  0.5000  0.0000  2 Na 2.80
Br  0.5000  0.0000  0.0000  2 Na 2.80
Na  0.0000  0.0000  0.0000  2 Se 2.72, 4 Br 2.80
In  0.5000  0.5000  0.5000  8 Br 3.91, 4 Se 3.97


Decreasing stability: run A, run B


Run A
## NaInSe2Br (GGA-PBE)

Data for an optimized crystal structure of NaInSe2Br.

Magnetic moment   0.37 μB per formula unit
V   160 Å³ per cell

a = 5.2729 Å, b = 5.2729 Å, c = 5.7576 Å
α = 90.00°, β = 90.00°, γ = 90.00°
Last column: nearest neighbours and their distance in Å.
Fractional coordinates of all 5 atoms:
Se  0.5000  0.0000  0.0000  2 In 2.64
Se  0.0000  0.5000  0.0000  2 In 2.64
Br  0.0000  0.0000  0.5000  2 In 2.88
Na  0.5000  0.5000  0.5000  4 Br 3.73, 8 Se 3.90
In  0.0000  0.0000  0.0000  4 Se 2.64, 2 Br 2.88


Run B
## NaInSe2Br (GGA-PBE)

Data for an optimized crystal structure of NaInSe2Br.

Magnetic moment   2.99 μB per formula unit
V   165 Å³ per cell

a = 5.4724 Å, b = 5.4724 Å, c = 5.5041 Å
α = 90.00°, β = 90.00°, γ = 90.00°
Last column: nearest neighbours and their distance in Å.
Fractional coordinates of all 5 atoms:
Na  0.0000  0.0000  0.0000  4 Se 2.74, 2 Br 2.75
Se  0.5000  0.0000  0.0000  2 Na 2.74
Se  0.0000  0.5000  0.0000  2 Na 2.74
Br  0.0000  0.0000  0.5000  2 Na 2.75
In  0.5000  0.5000  0.5000  4 Br 3.87, 8 Se 3.88


Decreasing stability: run A, run B


Run A
## NbInBr6 (GGA-PBE)

Data for an optimized crystal structure of NbInBr6.

Magnetic moment   0.00 μB per formula unit
V   285 Å³ per cell

a = 7.1146 Å, b = 7.1148 Å, c = 7.6928 Å
α = 62.45°, β = 62.44°, γ = 59.96°
Last column: nearest neighbours and their distance in Å.
Fractional coordinates of all 8 atoms:
Br  0.0360  0.3867  0.7748  1 Nb 2.55
Br  0.8023  0.0361  0.7749  1 Nb 2.55
Br  0.6131  0.1978  0.2252  1 Nb 2.55
Br  0.1977  0.9639  0.2251  1 Nb 2.55
Br  0.3869  0.8022  0.7748  1 Nb 2.55
Br  0.9640  0.6133  0.2252  1 Nb 2.55
Nb  0.0000  0.0000  0.0000  6 Br 2.55
In  0.5000  0.5000  0.5000  6 Br 3.26


Run B
## NbInBr6 (GGA-PBE)

Data for an optimized crystal structure of NbInBr6.

Magnetic moment   0.00 μB per formula unit
V   343 Å³ per cell

a = 7.8312 Å, b = 7.8279 Å, c = 6.6242 Å
α = 81.91°, β = 81.88°, γ = 118.41°
Last column: nearest neighbours and their distance in Å.
Fractional coordinates of all 8 atoms:
Br  0.0144  0.2798  0.1665  1 Nb 2.55
Br  0.9856  0.7202  0.8335  1 Nb 2.55
Br  0.7204  0.9858  0.8336  1 Nb 2.55
Br  0.2645  0.2644  0.6780  1 Nb 2.56
Br  0.7355  0.7356  0.3220  1 Nb 2.56
Br  0.2796  0.0142  0.1664  1 Nb 2.55
Nb  0.0000  0.0000  0.0000  6 Br 2.55-2.56
In  0.5000  0.5000  0.0000  6 Br 3.21-3.27


Decreasing stability: run B, run A


Run A
## NbInSeBr2 (GGA-PBE)

Data for an optimized crystal structure of NbInSeBr2.

Magnetic moment   1.16 μB per formula unit
V   154 Å³ per cell

a = 5.4911 Å, b = 5.4911 Å, c = 5.1177 Å
α = 90.00°, β = 90.00°, γ = 90.00°
Last column: nearest neighbours and their distance in Å.
Fractional coordinates of all 5 atoms:
In  0.5000  0.5000  0.5000  8 Br 3.75, 4 Se 3.88
Br  0.5000  0.0000  0.0000  2 Nb 2.75
Br  0.0000  0.5000  0.0000  2 Nb 2.75
Se  0.0000  0.0000  0.5000  2 Nb 2.56
Nb  0.0000  0.0000  0.0000  2 Se 2.56, 4 Br 2.75


Run B
## NbInSeBr2 (GGA-PBE)

Data for an optimized crystal structure of NbInSeBr2.

Magnetic moment   3.54 μB per formula unit
V   151 Å³ per cell

a = 5.2877 Å, b = 5.2877 Å, c = 5.4122 Å
α = 90.00°, β = 90.00°, γ = 90.00°
Last column: nearest neighbours and their distance in Å.
Fractional coordinates of all 5 atoms:
In  0.0000  0.0000  0.0000  4 Br 2.64, 2 Se 2.71
Br  0.5000  0.0000  0.0000  2 In 2.64
Br  0.0000  0.5000  0.0000  2 In 2.64
Se  0.0000  0.0000  0.5000  2 In 2.71
Nb  0.5000  0.5000  0.5000  4 Se 3.74, 8 Br 3.78


Decreasing stability: run A, run B